Here is a geometry-optimized BaBi12Au4 structure from Alexandria via LeMat-Bulk. Energies are from PBE.

Cell and atoms, written as CIF:
```
data_BaBi12Au4
_chemical_formula_sum 'Ba2 Bi24 Au8'
_space_group_name_H-M_alt 'I m -3'
_space_group_IT_number 204
_space_group_name_Hall '-I 2 2 3'
_cell_length_a 10.309
_cell_length_b 10.309
_cell_length_c 10.309
_cell_angle_alpha 90.00
_cell_angle_beta 90.00
_cell_angle_gamma 90.00
loop_
_atom_site_label
_atom_site_type_symbol
_atom_site_fract_x
_atom_site_fract_y
_atom_site_fract_z
Ba1 Ba 0.000 0.000 0.000
Bi1 Bi 0.000 0.345 0.156
Au1 Au 0.250 0.250 0.250
```

## Properties
* E_form: -136 meV/atom